Entry 1:
Density functional theory data (PBE) for a geometry-optimized K6SbF12 structure.

The space group is R-3 (No. 148, hexagonal axes) and the conventional cell measures 11.5403, 11.5403 and 10.7441 Å, with angles of 90.00, 90.00 and 120.00 degrees. Symmetry generates all atoms from K at (0.0318, 0.7938, 0.1400), Sb at (0.0000, 0.0000, 0.5000), F at (0.0279, 0.7974, 0.8967) and F at (0.0359, 0.8844, 0.3981).

The calculated volume is 21.7 Å³ per atom. The value obtained for the theoretical density is 2.35 Mg/m³. Its uncorrected formation energy is -2.514 eV/atom. The calculation puts the density of states at the Fermi level at 43.27 states/eV/cell.


Entry 2:
Density functional theory data (PBE) for a geometry-optimized KTaCd2 structure.

The space group is I-4m2 (No. 119) and the conventional cell measures 4.439, 4.439 and 10.074 Å, with angles of 90.00, 90.00 and 90.00 degrees. Symmetry generates all atoms from K at (0.000, 0.000, 0.000), Ta at (0.000, 0.500, 0.750), Cd at (0.000, 0.000, 0.500) and Cd at (0.000, 0.500, 0.250).

The calculated volume is 24.8 Å³ per atom. The value obtained for the theoretical density is 7.44 Mg/m³. The value obtained for the energy above the lowest structure with this stoichiometry is 611 meV/atom. The calculation puts the density of states at the Fermi level at 6.03 states/eV/cell.


Entry 3:
Density functional theory data (PBE) for a geometry-optimized GeP2IrCl structure.

The space group is P4/mmm (No. 123) and the conventional cell measures 4.669, 4.669 and 4.482 Å, with angles of 90.00, 90.00 and 90.00 degrees. Symmetry generates all atoms from Ge at (0.000, 0.000, 0.000), P at (0.000, 0.500, 0.000), Ir at (0.500, 0.500, 0.500) and Cl at (0.000, 0.000, 0.500).

The calculated volume is 19.5 Å³ per atom. The value obtained for the theoretical density is 6.16 Mg/m³. The value obtained for the energy above the lowest structure with this stoichiometry is 755 meV/atom. Its uncorrected formation energy is 1.309 eV/atom. The calculation puts the density of states at the Fermi level at 4.82 states/eV/cell.


Entry 4:
Density functional theory data (PBE) for a geometry-optimized Sc2NbFeTe structure.

The space group is P4/mmm (No. 123) and the conventional cell measures 5.246, 5.246 and 4.603 Å, with angles of 90.00, 90.00 and 90.00 degrees. Symmetry generates all atoms from Sc at (0.000, 0.500, 0.000), Nb at (0.000, 0.000, 0.500), Fe at (0.500, 0.500, 0.500) and Te at (0.500, 0.500, 0.000).

The calculated volume is 25.3 Å³ per atom. The value obtained for the theoretical density is 4.80 Mg/m³. Its uncorrected formation energy is 0.832 eV/atom. The calculation puts the density of states at the Fermi level at 6.43 states/eV/cell.